Here is a relaxed Tb2Sc5 crystal from Alexandria. Energies are from PBE. Values from VASP.

```
&SYSTEM
  ibrav = 0, nat = 7, ntyp = 2
/
ATOMIC_SPECIES
Tb 158.93 Tb.upf
Sc 44.96 Sc.upf
ATOMIC_POSITIONS crystal
Tb 0.363 0.363 0.910
Sc 0.789 0.789 0.633
Sc 0.926 0.926 0.222
Sc 0.074 0.074 0.778
Tb 0.637 0.637 0.090
Sc 0.211 0.211 0.367
Sc 0.500 0.500 0.500
CELL_PARAMETERS angstrom
-1.880 -1.961 4.563
2.490 -4.043 2.379
4.529 2.968 6.232
```

Values from the calculation:
Its relative energy among the computed polymorphs is 0.032 eV/atom. The formation energy is 0.13 eV/atom.

***

Here is a relaxed Y2MnPS crystal from Alexandria. Energies are from PBE. Values from VASP.

```
&SYSTEM
  ibrav = 0, nat = 5, ntyp = 4
/
ATOMIC_SPECIES
Y 88.91 Y.upf
Mn 54.94 Mn.upf
S 32.06 S.upf
P 30.97 P.upf
ATOMIC_POSITIONS crystal
Y 0.500 0.000 0.000
Y 0.000 0.500 0.000
Mn 0.000 0.000 0.500
S 0.000 0.000 0.000
P 0.500 0.500 0.500
CELL_PARAMETERS angstrom
-4.175 1.605 2.605
-2.252 -4.595 -0.779
1.668 -1.418 3.547
```

Values from the calculation:
The uncorrected formation energy comes out at -0.5990 eV/atom.

***

Here is a relaxed CsBeSe2N crystal from Alexandria. Energies are from PBE. Values from VASP.

```
&SYSTEM
  ibrav = 0, nat = 5, ntyp = 4
/
ATOMIC_SPECIES
Se 78.96 Se.upf
N 14.01 N.upf
Be 9.01 Be.upf
Cs 132.91 Cs.upf
ATOMIC_POSITIONS crystal
Se 0.000 0.500 0.000
N 0.000 0.000 0.500
Be 0.500 0.500 0.500
Se 0.500 0.000 0.000
Cs 0.000 0.000 0.000
CELL_PARAMETERS angstrom
5.994 0.000 0.000
0.000 5.994 0.000
0.000 0.000 4.485
```

Values from the calculation:
Its relative energy among the computed polymorphs is 1.946 eV/atom. The uncorrected formation energy comes out at 2.1886 eV/atom.

***

Here is a relaxed Al4Ru2Pt crystal from Alexandria. Energies are from PBE. Values from VASP.

```
&SYSTEM
  ibrav = 0, nat = 7, ntyp = 3
/
ATOMIC_SPECIES
Al 26.98 Al.upf
Ru 101.07 Ru.upf
Pt 195.08 Pt.upf
ATOMIC_POSITIONS crystal
Al 0.500 0.000 0.000
Al 0.000 0.000 0.500
Ru 0.500 0.000 0.500
Al 0.500 0.500 0.500
Ru 0.500 0.500 0.000
Pt 0.000 0.000 0.000
Al 0.000 0.500 0.000
CELL_PARAMETERS angstrom
-0.222 3.868 3.428
-4.253 0.003 -2.946
0.279 -4.537 2.470
```

Values from the calculation:
The formation energy is -0.74 eV/atom.

***

Here is a relaxed BaSbAuS3 crystal from Alexandria. Energies are from PBE. Values from VASP.

```
&SYSTEM
  ibrav = 0, nat = 12, ntyp = 4
/
ATOMIC_SPECIES
Ba 137.33 Ba.upf
Sb 121.76 Sb.upf
S 32.06 S.upf
Au 196.97 Au.upf
ATOMIC_POSITIONS crystal
Ba 0.250 0.197 0.247
Sb 0.250 0.673 0.151
S 0.750 0.441 0.143
Au 0.750 0.885 0.415
Au 0.250 0.115 0.585
S 0.250 0.741 0.479
S 0.750 0.889 0.128
Sb 0.750 0.327 0.849
S 0.250 0.111 0.872
Ba 0.750 0.803 0.753
S 0.250 0.559 0.857
S 0.750 0.259 0.521
CELL_PARAMETERS angstrom
4.129 0.000 0.000
0.000 8.435 -0.108
0.000 -2.330 8.979
```

Values from the calculation:
The uncorrected formation energy comes out at -0.7314 eV/atom.

***

Here is a relaxed Be2CoAu crystal from Alexandria. Energies are from PBE. Values from VASP.

```
&SYSTEM
  ibrav = 0, nat = 4, ntyp = 3
/
ATOMIC_SPECIES
Co 58.93 Co.upf
Be 9.01 Be.upf
Au 196.97 Au.upf
ATOMIC_POSITIONS crystal
Co 0.000 0.000 0.000
Be 0.000 0.758 0.758
Be 0.000 0.242 0.242
Au 0.000 0.500 0.500
CELL_PARAMETERS angstrom
-3.199 2.840 2.961
0.704 -5.154 -0.081
4.699 -2.003 -0.989
```

Values from the calculation:
The formation energy is 0.58 eV/atom.

***

Values for V, Å³/f.u., ordered as above
187.2, 111.7, 161.1, 106.6, 155.9, 52.6
Values for theoretical density, kg/m3, ordered as above
4813, 4398, 3235, 7871, 5884, 8642
Values for total energy, eV per atom, ordered as above
-5.715, -6.926, -1.786, -6.391, -4.349, -3.880